(1)
VASP calculation (PBE-GGA) on KLa2Ru after structural relaxation.

Unit cell a=6.6260 b=6.6260 c=6.6260 alpha=145.44 beta=118.56 gamma=72.45
Fractional coordinates of all 4 atoms:
1 K 0.2500 0.7500 0.5000
2 La 0.9224 0.9224 0.0000
3 La 0.5776 0.5776 0.0000
4 Ru 0.7500 0.2500 0.5000

Magnetic moment, μB per formula unit: 0.00
Energy relative to the lowest polymorph listed for this composition, eV/atom: 0.272
Fermi-level density of states, states/eV/f.u.: 3.4
Raw total energy, eV per atom: -4.931

---

(2)
VASP calculation (PBE-GGA) on KLa2Ru after structural relaxation.

Unit cell a=3.5532 b=3.5532 c=11.5528 alpha=90.00 beta=90.00 gamma=113.24
Fractional coordinates of all 4 atoms:
1 K 0.5000 0.5000 0.6936
2 La 0.0000 0.0000 0.0257
3 La 0.5000 0.5000 0.3201
4 Ru 0.0000 0.0000 0.4606

Magnetic moment, μB per formula unit: 0.00
Energy relative to the lowest polymorph listed for this composition, eV/atom: 0.510
Fermi-level density of states, states/eV/f.u.: 4.1
Raw total energy, eV per atom: -4.692

---

(3)
VASP calculation (PBE-GGA) on KLa2Ru after structural relaxation.

Unit cell a=5.3846 b=5.3846 c=5.3846 alpha=60.00 beta=60.00 gamma=60.00
Fractional coordinates of all 4 atoms:
1 Ru 0.5000 0.5000 0.5000
2 K 0.0000 0.0000 0.0000
3 La 0.2500 0.2500 0.2500
4 La 0.7500 0.7500 0.7500

Magnetic moment, μB per formula unit: 0.00
Energy relative to the lowest polymorph listed for this composition, eV/atom: 0.546
Fermi-level density of states, states/eV/f.u.: 4.5
Raw total energy, eV per atom: -4.656

---

(4)
VASP calculation (PBE-GGA) on KLa2Ru after structural relaxation.

Unit cell a=8.4158 b=8.4158 c=8.4251 alpha=60.04 beta=60.04 gamma=90.00
Fractional coordinates of all 8 atoms:
1 Ru 0.0000 0.0000 0.0000
2 Ru 0.7500 0.2500 0.5000
3 K 0.5000 0.5000 0.0000
4 K 0.2500 0.7500 0.5000
5 La 0.8753 0.1250 0.2500
6 La 0.8747 0.6250 0.2500
7 La 0.3750 0.1247 0.7500
8 La 0.8750 0.1253 0.7500

Magnetic moment, μB per formula unit: 0.00
Energy relative to the lowest polymorph listed for this composition, eV/atom: 0.297
Fermi-level density of states, states/eV/f.u.: 3.8
Raw total energy, eV per atom: -4.905